[1]
An optimized crystal structure of CePBr. Source: Alexandria via LeMat-Bulk, functional PBE-GGA.

Lattice parameters (Å, degrees): 4.0380 5.0202 10.6151 103.47 90.23 113.68
With the nearest neighbours (Å) after each atom.
Positions (direct):
1 Ce 0.1661 0.3291 0.1478  5 P 2.80-3.02, 2 Br 2.95
2 Ce 0.8339 0.6709 0.8522  5 P 2.80-3.02, 2 Br 2.95
3 P 0.4329 0.8645 0.0687  1 P 2.15
4 P 0.5671 0.1355 0.9313  1 P 2.15
5 Br 0.1800 0.3672 0.6611  2 Ce 2.95
6 Br 0.8200 0.6328 0.3389  2 Ce 2.95

Properties
uncorrected formation energy: -1400 meV/atom



[2]
An optimized crystal structure of Ce3PBr3. Source: Alexandria via LeMat-Bulk, functional PBE-GGA.

Lattice parameters (Å, degrees): 10.2049 10.2049 10.2049 109.47 109.47 109.47
With the nearest neighbours (Å) after each atom.
Positions (direct):
1 Ce 0.0118 0.0236 0.2618  2 P 2.81, 4 Br 3.05-3.09
2 Ce 0.0118 0.4882 0.7500  2 P 2.81, 4 Br 3.05-3.09
3 Ce 0.0236 0.2618 0.0118  2 P 2.81, 4 Br 3.05-3.09
4 Ce 0.2382 0.2618 0.7500  2 P 2.81, 4 Br 3.05-3.09
5 Ce 0.2382 0.4764 0.4882  2 P 2.81, 4 Br 3.05-3.09
6 Ce 0.2618 0.0118 0.0236  2 P 2.81, 4 Br 3.05-3.09
7 Ce 0.2618 0.7500 0.2382  2 P 2.81, 4 Br 3.05-3.09
8 Ce 0.4764 0.4882 0.2382  2 P 2.81, 4 Br 3.05-3.09
9 Ce 0.4882 0.2382 0.4764  2 P 2.81, 4 Br 3.05-3.09
10 Ce 0.4882 0.7500 0.0118  2 P 2.81, 4 Br 3.05-3.09
11 Ce 0.7500 0.0118 0.4882  2 P 2.81, 4 Br 3.05-3.09
12 Ce 0.7500 0.2382 0.2618  2 P 2.81, 4 Br 3.05-3.09
13 P 0.0000 0.2500 0.5000  6 Ce 2.81
14 P 0.2500 0.2500 0.2500  6 Ce 2.81
15 P 0.2500 0.5000 0.0000  6 Ce 2.81
16 P 0.5000 0.0000 0.2500  6 Ce 2.81
17 Br 0.2500 0.7577 0.7423  4 Ce 3.05-3.09
18 Br 0.2500 0.9923 0.5077  4 Ce 3.05-3.09
19 Br 0.5077 0.2500 0.9923  4 Ce 3.05-3.09
20 Br 0.5077 0.7577 0.5153  4 Ce 3.05-3.09
21 Br 0.5153 0.5077 0.7577  4 Ce 3.05-3.09
22 Br 0.7423 0.2500 0.7577  4 Ce 3.05-3.09
23 Br 0.7423 0.9923 0.9847  4 Ce 3.05-3.09
24 Br 0.7577 0.5153 0.5077  4 Ce 3.05-3.09
25 Br 0.7577 0.7423 0.2500  4 Ce 3.05-3.09
26 Br 0.9847 0.7423 0.9923  4 Ce 3.05-3.09
27 Br 0.9923 0.5077 0.2500  4 Ce 3.05-3.09
28 Br 0.9923 0.9847 0.7423  4 Ce 3.05-3.09

Properties
uncorrected formation energy: -1556 meV/atom



[3]
An optimized crystal structure of Ce4P3Br. Source: Alexandria via LeMat-Bulk, functional PBE-GGA.

Lattice parameters (Å, degrees): 8.2892 11.6738 4.1164 90.00 90.00 90.00
With the nearest neighbours (Å) after each atom.
Positions (direct):
1 Ce 0.0000 0.2422 0.0000  5 P 2.83-2.92, 1 Br 3.01
2 Ce 0.0000 0.7578 0.0000  5 P 2.83-2.92, 1 Br 3.01
3 Ce 0.2329 0.0000 0.5000  4 P 2.82-2.92, 2 Br 3.02
4 Ce 0.2671 0.5000 0.5000  4 P 2.82-2.92, 2 Br 3.02
5 Ce 0.5000 0.2578 0.0000  5 P 2.83-2.92, 1 Br 3.01
6 Ce 0.5000 0.7422 0.0000  5 P 2.83-2.92, 1 Br 3.01
7 Ce 0.7329 0.5000 0.5000  4 P 2.82-2.92, 2 Br 3.02
8 Ce 0.7671 0.0000 0.5000  4 P 2.82-2.92, 2 Br 3.02
9 P 0.0000 0.0000 0.0000  6 Ce 2.82-2.83
10 P 0.2500 0.2500 0.5000  6 Ce 2.92
11 P 0.2500 0.7500 0.5000  6 Ce 2.92
12 P 0.5000 0.5000 0.0000  6 Ce 2.82-2.83
13 P 0.7500 0.2500 0.5000  6 Ce 2.92
14 P 0.7500 0.7500 0.5000  6 Ce 2.92
15 Br 0.0000 0.5000 0.0000  6 Ce 3.01-3.02
16 Br 0.5000 0.0000 0.0000  6 Ce 3.01-3.02

Properties
uncorrected formation energy: -1468 meV/atom



[4]
An optimized crystal structure of Ce2PBr2. Source: Alexandria via LeMat-Bulk, functional PBE-GGA.

Lattice parameters (Å, degrees): 10.3263 8.3689 7.2248 90.00 90.07 90.00
With the nearest neighbours (Å) after each atom.
Positions (direct):
1 Ce 0.0009 0.1168 0.2638  3 P 2.83-2.90, 3 Br 3.02-3.11
2 Ce 0.0009 0.3832 0.7638  3 P 2.83-2.90, 3 Br 3.02-3.11
3 Ce 0.3145 0.1450 0.9021  2 P 2.80-2.81, 4 Br 2.98-3.12
4 Ce 0.3145 0.3550 0.4021  2 P 2.80-2.81, 4 Br 2.98-3.12
5 Ce 0.6855 0.6450 0.5979  2 P 2.80-2.81, 4 Br 2.98-3.12
6 Ce 0.6855 0.8550 0.0979  2 P 2.80-2.81, 4 Br 2.98-3.12
7 Ce 0.9991 0.6168 0.2362  3 P 2.83-2.90, 3 Br 3.02-3.11
8 Ce 0.9991 0.8832 0.7362  3 P 2.83-2.90, 3 Br 3.02-3.11
9 P 0.1549 0.1368 0.5871  5 Ce 2.80-2.90
10 P 0.1549 0.3632 0.0871  5 Ce 2.80-2.90
11 P 0.8451 0.6368 0.9129  5 Ce 2.80-2.90
12 P 0.8451 0.8632 0.4129  5 Ce 2.80-2.90
13 Br 0.1779 0.6306 0.5821  4 Ce 3.00-3.11
14 Br 0.1779 0.8694 0.0821  4 Ce 3.00-3.11
15 Br 0.4991 0.6265 0.2679  3 Ce 2.98-3.12
16 Br 0.4991 0.8735 0.7679  3 Ce 2.98-3.12
17 Br 0.5009 0.1265 0.2321  3 Ce 2.98-3.12
18 Br 0.5009 0.3735 0.7321  3 Ce 2.98-3.12
19 Br 0.8221 0.1306 0.9179  4 Ce 3.00-3.11
20 Br 0.8221 0.3694 0.4179  4 Ce 3.00-3.11

Properties
uncorrected formation energy: -1505 meV/atom



[5]
An optimized crystal structure of Ce3P2Br. Source: Alexandria via LeMat-Bulk, functional PBE-GGA.

Lattice parameters (Å, degrees): 4.1019 4.1019 21.1995 90.00 90.00 120.00
With the nearest neighbours (Å) after each atom.
Positions (direct):
1 Ce 0.0000 0.0000 0.0000  6 P 2.90
2 Ce 0.0000 0.0000 0.5000  6 P 2.90
3 Ce 0.3333 0.6667 0.1506  3 P 2.81
4 Ce 0.3333 0.6667 0.3494  3 P 2.81
5 Ce 0.6667 0.3333 0.6506  3 P 2.81
6 Ce 0.6667 0.3333 0.8494  3 P 2.81
7 P 0.3333 0.6667 0.5790  6 Ce 2.81-2.90
8 P 0.3333 0.6667 0.9210  6 Ce 2.81-2.90
9 P 0.6667 0.3333 0.0790  6 Ce 2.81-2.90
10 P 0.6667 0.3333 0.4210  6 Ce 2.81-2.90
11 Br 0.0000 0.0000 0.2500  6 Ce 3.17
12 Br 0.0000 0.0000 0.7500  6 Ce 3.17

Properties
uncorrected formation energy: -1433 meV/atom



[6]
An optimized crystal structure of Ce2PBr3. Source: Alexandria via LeMat-Bulk, functional PBE-GGA.

Lattice parameters (Å, degrees): 8.8369 8.8369 11.8491 117.54 117.54 29.79
With the nearest neighbours (Å) after each atom.
Positions (direct):
1 Ce 0.1029 0.1029 0.4450  2 P 2.76, 2 Br 3.07
2 Ce 0.3608 0.3608 0.1885  2 P 2.76, 2 Br 3.03-3.05
3 Ce 0.6392 0.6392 0.8115  2 P 2.76, 2 Br 3.03-3.05
4 Ce 0.8971 0.8971 0.5550  2 P 2.76, 2 Br 3.07
5 P 0.0805 0.0805 0.6609  4 Ce 2.76
6 P 0.9195 0.9195 0.3391  4 Ce 2.76
7 Br 0.1608 0.1608 0.0127  3 Ce 3.03-3.18
8 Br 0.2708 0.2708 0.3878  4 Ce 3.11-3.38
9 Br 0.4441 0.4441 0.7512  3 Ce 3.05-3.07
10 Br 0.5559 0.5559 0.2488  3 Ce 3.05-3.07
11 Br 0.7292 0.7292 0.6122  4 Ce 3.11-3.38
12 Br 0.8392 0.8392 0.9873  3 Ce 3.03-3.18

Properties
uncorrected formation energy: -1591 meV/atom



[7]
An optimized crystal structure of CePmPBr. Source: Alexandria via LeMat-Bulk, functional PBE-GGA.

Lattice parameters (Å, degrees): 4.0426 4.0426 22.6310 90.00 90.00 120.00
With the nearest neighbours (Å) after each atom.
Positions (direct):
1 Ce 0.0000 0.0000 0.0000  3 P 2.80
2 Ce 0.3333 0.6667 0.6667  3 P 2.80
3 Ce 0.6667 0.3333 0.3333  3 P 2.80
4 Pm 0.0000 0.0000 0.1956  3 P 2.81
5 Pm 0.3333 0.6667 0.8623  3 P 2.81
6 Pm 0.6667 0.3333 0.5289  3 P 2.81
7 P 0.0000 0.0000 0.5981  3 Ce 2.80, 3 Pm 2.81
8 P 0.3333 0.6667 0.2648  3 Ce 2.80, 3 Pm 2.81
9 P 0.6667 0.3333 0.9315  3 Ce 2.80, 3 Pm 2.81
10 Br 0.0000 0.0000 0.4310  3 Ce 3.21, 3 Pm 3.22
11 Br 0.3333 0.6667 0.0976  3 Ce 3.21, 3 Pm 3.22
12 Br 0.6667 0.3333 0.7643  3 Ce 3.21, 3 Pm 3.22

Properties
uncorrected formation energy: -1430 meV/atom



[8]
An optimized crystal structure of CePuPBr. Source: Alexandria via LeMat-Bulk, functional PBE-GGA.

Lattice parameters (Å, degrees): 15.6143 15.6143 15.6143 14.23 14.23 14.23
With the nearest neighbours (Å) after each atom.
Positions (direct):
1 Ce 0.0838 0.0838 0.0838  3 P 2.79, 3 Br 3.00
2 Ce 0.9162 0.9162 0.9162  3 P 2.79, 3 Br 3.00
3 Pu 0.3220 0.3220 0.3220  3 Pu 2.47, 1 P 2.74
4 Pu 0.6780 0.6780 0.6780  3 Pu 2.47, 1 P 2.74
5 P 0.3812 0.3812 0.3812  4 Pu 2.74-2.80, 3 Ce 2.79
6 P 0.6188 0.6188 0.6188  4 Pu 2.74-2.80, 3 Ce 2.79
7 Br 0.2062 0.2062 0.2062  3 Ce 3.00
8 Br 0.7938 0.7938 0.7938  3 Ce 3.00

Properties
uncorrected formation energy: -1138 meV/atom



[9]
An optimized crystal structure of Ce8PRu3Br4. Source: Alexandria via LeMat-Bulk, functional PBE-GGA.

Lattice parameters (Å, degrees): 8.8737 8.8737 8.8737 54.79 54.79 54.79
With the nearest neighbours (Å) after each atom.
Positions (direct):
1 Ce 0.2270 0.7355 0.7355  2 Ru 2.77, 1 P 2.82
2 Ce 0.2341 0.2341 0.2341  3 Ru 2.81
3 Ce 0.2645 0.2645 0.7730  2 Ru 2.77, 1 P 2.82
4 Ce 0.2645 0.7730 0.2645  2 Ru 2.77, 1 P 2.82
5 Ce 0.7355 0.2270 0.7355  2 Ru 2.77, 1 P 2.82
6 Ce 0.7355 0.7355 0.2270  2 Ru 2.77, 1 P 2.82
7 Ce 0.7659 0.7659 0.7659  3 Ru 2.81
8 Ce 0.7730 0.2645 0.2645  2 Ru 2.77, 1 P 2.82
9 P 0.5000 0.5000 0.5000  6 Ce 2.82
10 Ru 0.0000 0.0000 0.5000  6 Ce 2.77-2.81
11 Ru 0.0000 0.5000 0.0000  6 Ce 2.77-2.81
12 Ru 0.5000 0.0000 0.0000  6 Ce 2.77-2.81
13 Br 0.0000 0.0000 0.0000  6 Ce 3.24
14 Br 0.0000 0.5000 0.5000  6 Ce 3.25-3.29
15 Br 0.5000 0.0000 0.5000  6 Ce 3.25-3.29
16 Br 0.5000 0.5000 0.0000  6 Ce 3.25-3.29

Properties
uncorrected formation energy: -926 meV/atom



[10]
An optimized crystal structure of Ce4PRuBr2. Source: Alexandria via LeMat-Bulk, functional PBE-GGA.

Lattice parameters (Å, degrees): 7.2637 4.0336 7.6041 90.00 106.90 90.00
With the nearest neighbours (Å) after each atom.
Positions (direct):
1 Ce 0.2300 0.0000 0.2051  2 Ru 2.79, 1 P 2.84
2 Ce 0.2567 0.5000 0.7932  1 Ru 2.77, 2 P 2.84
3 Ce 0.7433 0.5000 0.2068  1 Ru 2.77, 2 P 2.84
4 Ce 0.7700 0.0000 0.7949  2 Ru 2.79, 1 P 2.84
5 P 0.5000 0.0000 0.0000  6 Ce 2.84
6 Ru 0.0000 0.5000 0.0000  6 Ce 2.77-2.79
7 Br 0.0000 0.0000 0.5000  6 Ce 3.16-3.18
8 Br 0.5000 0.5000 0.5000  6 Ce 3.22

Properties
uncorrected formation energy: -1071 meV/atom



[11]
An optimized crystal structure of Ce6PS2Br3. Source: Alexandria via LeMat-Bulk, functional PBE-GGA.

Lattice parameters (Å, degrees): 7.0212 7.0212 7.4679 99.02 99.02 120.01
With the nearest neighbours (Å) after each atom.
Positions (direct):
1 Ce 0.0929 0.4276 0.7831  2 S 2.79-2.80, 1 P 2.81, 3 Br 3.09
2 Ce 0.2367 0.2367 0.2154  2 S 2.79, 1 P 2.80, 3 Br 3.08
3 Ce 0.4276 0.0929 0.7831  2 S 2.79-2.80, 1 P 2.81, 3 Br 3.09
4 Ce 0.5724 0.9071 0.2169  2 S 2.79-2.80, 1 P 2.81, 3 Br 3.09
5 Ce 0.7633 0.7633 0.7846  2 S 2.79, 1 P 2.80, 3 Br 3.08
6 Ce 0.9071 0.5724 0.2169  2 S 2.79-2.80, 1 P 2.81, 3 Br 3.09
7 P 0.5000 0.5000 0.0000  6 Ce 2.80-2.81
8 S 0.1671 0.8329 0.0000  6 Ce 2.79-2.80
9 S 0.8329 0.1671 0.0000  6 Ce 2.79-2.80
10 Br 0.0000 0.0000 0.5000  6 Ce 3.08-3.09
11 Br 0.3356 0.6644 0.5000  6 Ce 3.08-3.09
12 Br 0.6644 0.3356 0.5000  6 Ce 3.08-3.09

Properties
uncorrected formation energy: -1532 meV/atom



[12]
An optimized crystal structure of Ce6P2Se3Br. Source: Alexandria via LeMat-Bulk, functional PBE-GGA.

Lattice parameters (Å, degrees): 9.3178 9.3178 8.3722 102.77 102.77 25.78
With the nearest neighbours (Å) after each atom.
Positions (direct):
1 Ce 0.0059 0.0059 0.2605  1 P 2.86, 3 Se 2.91-3.00, 2 Br 3.00
2 Ce 0.3294 0.3294 0.9017  2 P 2.87, 3 Se 2.93-3.02, 1 Br 3.02
3 Ce 0.3297 0.3297 0.4254  3 P 2.87-2.89, 3 Se 3.01-3.02
4 Ce 0.6703 0.6703 0.5746  3 P 2.87-2.89, 3 Se 3.01-3.02
5 Ce 0.6706 0.6706 0.0983  2 P 2.87, 3 Se 2.93-3.02, 1 Br 3.02
6 Ce 0.9941 0.9941 0.7395  1 P 2.86, 3 Se 2.91-3.00, 2 Br 3.00
7 P 0.1674 0.1674 0.3338  6 Ce 2.86-2.89
8 P 0.8326 0.8326 0.6662  6 Ce 2.86-2.89
9 Se 0.1637 0.1637 0.8332  6 Ce 2.93-3.02
10 Se 0.5000 0.5000 0.5000  6 Ce 2.91-3.01
11 Se 0.8363 0.8363 0.1668  6 Ce 2.93-3.02
12 Br 0.5000 0.5000 0.0000  6 Ce 3.00-3.02

Properties
uncorrected formation energy: -1628 meV/atom